A relaxed structure of NdSbN2O. Source: the Open Quantum Materials Database, functional PBE.

Cell and atoms, written as extended XYZ:
```
30
Lattice="6.625 0.000 0.000 -3.312 5.737 0.000 0.000 0.000 12.198" Properties=species:S:1:pos:R:3 pbc="T T T"
Nd 0.000 0.000 0.000
Nd 0.000 0.000 6.099
Nd 0.000 3.825 5.736
Nd 0.000 3.825 11.835
Nd 3.312 1.912 5.736
Nd 3.312 1.912 11.835
Sb -1.106 1.915 2.837
Sb -2.207 3.822 8.936
Sb 2.211 0.000 2.837
Sb 1.106 1.915 8.936
Sb 4.414 0.000 8.936
Sb 2.207 3.822 2.837
N -1.038 1.798 4.767
N -1.169 2.025 0.913
N -2.143 3.713 7.012
N -2.274 3.939 10.866
N 2.077 0.000 4.767
N 1.038 1.798 10.866
N 2.338 0.000 0.913
N 1.169 2.025 7.012
N 4.287 0.000 7.012
N 2.143 3.713 0.913
N 4.548 0.000 10.866
N 2.274 3.939 4.767
O 0.000 0.000 2.589
O 0.000 0.000 8.688
O 0.000 3.825 3.041
O 0.000 3.825 9.140
O 3.312 1.912 3.041
O 3.312 1.912 9.140
```

Calculated total energy ... -6.8413 eV per atom
Total moment ... 0.0 μB per formula unit
Crystal system ... hexagonal

=====

A relaxed structure of NdSbNO. Source: the Open Quantum Materials Database, functional PBE.

Cell and atoms, written as extended XYZ:
```
8
Lattice="4.971 0.000 0.000 0.000 4.971 0.000 0.000 0.000 5.221" Properties=species:S:1:pos:R:3 pbc="T T T"
Nd 1.243 3.728 0.000
Nd 3.728 1.243 0.000
Sb 1.243 1.243 2.597
Sb 3.728 3.728 2.624
N 1.243 1.243 4.634
N 3.728 3.728 0.587
O 1.243 3.728 2.610
O 3.728 1.243 2.610
```

ΔE to the lowest computed polymorph ... 338 meV/atom
Total moment ... 0.0 μB per formula unit
Crystal system ... tetragonal

=====

A relaxed structure of NdSbNO. Source: the Open Quantum Materials Database, functional PBE.

Cell and atoms, written as extended XYZ:
```
16
Lattice="6.978 0.000 0.000 0.000 6.928 0.000 0.000 0.000 5.743" Properties=species:S:1:pos:R:3 pbc="T T T"
Nd 0.559 1.254 0.000
Nd 2.930 1.254 2.872
Nd 4.048 5.674 0.000
Nd 6.419 5.674 2.872
Sb 0.903 4.764 0.008
Sb 2.586 4.764 2.880
Sb 4.392 2.164 0.008
Sb 6.075 2.164 2.880
N 0.621 0.838 3.309
N 2.868 0.838 0.437
N 4.110 6.090 3.309
N 6.357 6.090 0.437
O 0.316 3.256 1.491
O 3.173 3.256 4.363
O 3.805 3.672 1.491
O 6.662 3.672 4.363
```

ΔE to the lowest computed polymorph ... 248 meV/atom
Total moment ... 0.0 μB per formula unit
Crystal system ... orthorhombic

=====

A relaxed structure of NdSbN2O. Source: the Open Quantum Materials Database, functional PBE.

Cell and atoms, written as extended XYZ:
```
10
Lattice="3.734 0.000 0.000 0.000 6.412 0.000 0.000 0.000 5.932" Properties=species:S:1:pos:R:3 pbc="T T T"
Nd 0.000 1.014 0.000
Nd 0.000 5.398 2.966
Sb 1.867 2.081 3.153
Sb 1.867 4.331 0.187
N 0.000 1.340 3.478
N 0.000 5.071 0.512
N 1.867 2.558 5.222
N 1.867 3.854 2.256
O 1.867 0.605 1.652
O 1.867 5.807 4.618
```

Calculated total energy ... -7.0137 eV per atom
Total moment ... 0.0 μB per formula unit
Crystal system ... orthorhombic

=====

A relaxed structure of NdSbN2O. Source: the Open Quantum Materials Database, functional PBE.

Cell and atoms, written as extended XYZ:
```
10
Lattice="5.549 0.000 0.000 2.768 4.976 0.000 2.593 1.696 5.213" Properties=species:S:1:pos:R:3 pbc="T T T"
Nd 0.000 0.000 0.000
Nd 2.793 1.680 1.176
Sb 5.455 3.217 3.015
Sb 8.202 5.016 3.392
N 3.686 3.707 2.084
N 4.790 1.770 4.402
N 6.984 3.643 4.371
N 6.086 1.539 1.980
O 4.353 4.688 4.533
O 6.585 4.734 1.967
```

Calculated total energy ... -6.9671 eV per atom
Total moment ... 0.0 μB per formula unit
Crystal system ... triclinic

=====

A relaxed structure of NdSbN2O. Source: the Open Quantum Materials Database, functional PBE.

Cell and atoms, written as extended XYZ:
```
5
Lattice="4.050 0.000 0.000 0.000 4.050 0.000 0.000 0.000 4.001" Properties=species:S:1:pos:R:3 pbc="T T T"
Nd 0.000 0.000 0.000
Sb 2.025 2.025 2.000
N 0.000 2.025 2.000
N 2.025 0.000 2.000
O 2.025 2.025 0.000
```

Calculated total energy ... -6.8287 eV per atom
Total moment ... 0.0 μB per formula unit
Crystal system ... tetragonal

=====

A relaxed structure of NdSbNO. Source: the Open Quantum Materials Database, functional PBE.

Cell and atoms, written as extended XYZ:
```
8
Lattice="4.982 0.000 0.000 0.000 4.982 0.000 0.000 0.000 5.212" Properties=species:S:1:pos:R:3 pbc="T T T"
Nd 1.246 3.737 0.000
Nd 3.737 1.246 0.000
Sb 1.246 1.246 2.603
Sb 3.737 3.737 2.609
N 1.246 1.246 4.642
N 3.737 3.737 0.571
O 1.246 3.737 2.606
O 3.737 1.246 2.606
```

ΔE to the lowest computed polymorph ... 337 meV/atom
Total moment ... 0.0 μB per formula unit
Crystal system ... tetragonal

=====

A relaxed structure of NdSbNO. Source: the Open Quantum Materials Database, functional PBE.

Cell and atoms, written as extended XYZ:
```
8
Lattice="4.517 0.000 0.000 0.000 4.517 0.000 0.000 0.000 7.700" Properties=species:S:1:pos:R:3 pbc="T T T"
Nd 1.129 1.129 0.944
Nd 3.388 3.388 6.756
Sb 1.129 3.388 3.850
Sb 3.388 1.129 3.850
N 1.129 1.129 3.306
N 3.388 3.388 4.394
O 1.129 3.388 0.000
O 3.388 1.129 0.000
```

ΔE to the lowest computed polymorph ... 239 meV/atom
Total moment ... 0.0 μB per formula unit
Crystal system ... tetragonal